# 1
CeTh3 | PBE | optimized geometry

* polymorph energy (0 for the lowest one): 3.961 kcal/mol of atoms
* total magnetic moment: 0.1 μB/f.u.
* ΔH_f (0 K): 0.18 eV/atom
* E: -6.87 eV/atom

Unit cell a=7.9501 b=7.9501 c=7.9501 alpha=90.00 beta=90.00 gamma=90.00
Closest atoms and distances in Å follow each position.
Positions (direct):
Ce 0.0000 0.0000 0.0000  8 Th 3.44
Ce 0.0000 0.5000 0.5000  8 Th 3.44
Ce 0.5000 0.0000 0.5000  8 Th 3.44
Ce 0.5000 0.5000 0.0000  8 Th 3.44
Th 0.0000 0.0000 0.5000  8 Th 3.44
Th 0.0000 0.5000 0.0000  8 Th 3.44
Th 0.2500 0.2500 0.2500  4 Th 3.44, 4 Ce 3.44
Th 0.2500 0.2500 0.7500  4 Ce 3.44, 4 Th 3.44
Th 0.2500 0.7500 0.2500  4 Ce 3.44, 4 Th 3.44
Th 0.2500 0.7500 0.7500  4 Th 3.44, 4 Ce 3.44
Th 0.5000 0.0000 0.0000  8 Th 3.44
Th 0.5000 0.5000 0.5000  8 Th 3.44
Th 0.7500 0.2500 0.2500  4 Ce 3.44, 4 Th 3.44
Th 0.7500 0.2500 0.7500  4 Th 3.44, 4 Ce 3.44
Th 0.7500 0.7500 0.2500  4 Th 3.44, 4 Ce 3.44
Th 0.7500 0.7500 0.7500  4 Ce 3.44, 4 Th 3.44

# 2
SrTlAg2 | PBE | optimized geometry

* total magnetic moment: 0.0 μB/f.u.
* ΔH_f (0 K): -0.18 eV/atom
* E: -2.62 eV/atom

Unit cell a=8.4180 b=4.8658 c=6.1012 alpha=90.00 beta=117.50 gamma=90.00
Closest atoms and distances in Å follow each position.
Positions (direct):
Sr 0.0000 0.0000 0.0000  7 Ag 3.37-3.51, 4 Tl 3.39-3.47
Sr 0.5000 0.5000 0.0000  7 Ag 3.37-3.51, 4 Tl 3.39-3.47
Tl 0.2087 0.0000 0.6257  6 Ag 3.09-3.11, 1 Sr 3.39
Tl 0.7087 0.5000 0.6257  6 Ag 3.09-3.11, 1 Sr 3.39
Ag 0.2926 0.5000 0.3777  3 Ag 2.81, 3 Tl 3.11
Ag 0.4623 0.0000 0.3873  3 Ag 2.81, 3 Tl 3.09
Ag 0.7926 0.0000 0.3777  3 Ag 2.81, 3 Tl 3.11
Ag 0.9623 0.5000 0.3873  3 Ag 2.81, 3 Tl 3.09

Among the records above, which one has the lowest total magnetic moment?
SrTlAg2

Look up the ΔH_f (0 K) of the first one.
0.18 eV/atom